1.
ScFeHg2 | GGA-PBE | optimized geometry

As for the crystal system: trigonal. As for the energy: -43.7 eV per cell. Its formation energy is 0.21 eV/atom. The value obtained for the mass density is 10.2 Mg/m³.

The space group is R-3m (No. 166, hexagonal axes) and the conventional cell measures 3.2306, 3.2306 and 27.0456 Å, with angles of 90.00, 90.00 and 120.00 degrees. The inequivalent atoms are Sc at (0.0000, 0.0000, 0.0000), Fe at (0.0000, 0.0000, 0.5000) and Hg at (0.0000, 0.0000, 0.2450).

***

2.
ScFeSb | GGA-PBE | optimized geometry

As for the crystal system: trigonal. As for the energy: -121.0 eV per cell. The value obtained for the mass density is 6.6 Mg/m³.

The space group is R3m (No. 160, hexagonal axes) and the conventional cell measures 4.3417, 4.3417 and 20.4427 Å, with angles of 90.00, 90.00 and 120.00 degrees. The inequivalent atoms are Sc at (0.0000, 0.0000, 0.0000), Sc at (0.0000, 0.0000, 0.1632), Fe at (0.0000, 0.0000, 0.2917), Fe at (0.0000, 0.0000, 0.7168), Sb at (0.0000, 0.0000, 0.4178) and Sb at (0.0000, 0.0000, 0.5868).

***

3.
AcHgRh4 | GGA-PBE | optimized geometry

As for the crystal system: cubic. As for the energy: -140.5 eV per cell. Its formation energy is -0.22 eV/atom. The value obtained for the mass density is 12.2 Mg/m³.

The space group is F-43m (No. 216) and the conventional cell measures 7.693, 7.693 and 7.693 Å, with angles of 90.00, 90.00 and 90.00 degrees. The inequivalent atoms are Ac at (0.000, 0.000, 0.000), Hg at (0.250, 0.250, 0.750) and Rh at (0.124, 0.124, 0.376).

***

4.
Rb4Tb3PbO8 | GGA-PBE | optimized geometry

As for the crystal system: trigonal. As for the energy: -292.6 eV per cell. The value obtained for the mass density is 6.6 Mg/m³.

The space group is R-3m (No. 166, hexagonal axes) and the conventional cell measures 7.1172, 7.1172 and 19.7595 Å, with angles of 90.00, 90.00 and 120.00 degrees. The inequivalent atoms are Rb at (0.0000, 0.0000, 0.0000), Rb at (0.0000, 0.5000, 0.0000), Tb at (0.0000, 0.5000, 0.5000), Pb at (0.0000, 0.0000, 0.5000), O at (0.0000, 0.0000, 0.2250) and O at (0.0129, 0.5064, 0.7727).

***

5.
SrEuNb4O12 | GGA-PBE | optimized geometry

As for the crystal system: orthorhombic. As for the energy: -321.1 eV per cell. The value obtained for the mass density is 5.2 Mg/m³.

The space group is Amm2 (No. 38) and the conventional cell measures 8.001, 7.900 and 8.167 Å, with angles of 90.00, 90.00 and 90.00 degrees. The inequivalent atoms are Sr at (0.000, 0.000, 0.000), Eu at (0.500, 0.000, 0.553), Nb at (0.250, 0.244, 0.270), O at (0.000, 0.234, 0.756), O at (0.229, 0.000, 0.211), O at (0.257, 0.217, 0.499), O at (0.265, 0.000, 0.772) and O at (0.500, 0.237, 0.244).

***

6.
GaSn2Cl | GGA-PBE | optimized geometry

As for the crystal system: tetragonal. As for the energy: -50.4 eV per cell. For the energy above the most stable polymorph in this dataset, the calculation gives 15.58 kJ per mole of atoms. The value obtained for the mass density is 4.2 Mg/m³.

The space group is I-42d (No. 122) and the conventional cell measures 6.157, 6.157 and 14.449 Å, with angles of 90.00, 90.00 and 90.00 degrees. The inequivalent atoms are Ga at (0.000, 0.000, 0.000), Sn at (0.225, 0.250, 0.125) and Cl at (0.000, 0.000, 0.500).

***

7.
FeCu2Bi2 | GGA-PBE | optimized geometry

As for the crystal system: tetragonal. As for the energy: -43.9 eV per cell. For the energy above the most stable polymorph in this dataset, the calculation gives 6.24 kJ per mole of atoms. Its formation energy is 0.49 eV/atom. The value obtained for the mass density is 10.4 Mg/m³.

The space group is I4/mmm (No. 139) and the conventional cell measures 3.356, 3.356 and 16.996 Å, with angles of 90.00, 90.00 and 90.00 degrees. The inequivalent atoms are Fe at (0.000, 0.000, 0.000), Cu at (0.000, 0.500, 0.250) and Bi at (0.000, 0.000, 0.402).

***

8.
SrLi2W | GGA-PBE | optimized geometry

As for the crystal system: orthorhombic. As for the energy: -29.3 eV per cell. For the energy above the most stable polymorph in this dataset, the calculation gives 21.53 kJ per mole of atoms. Its formation energy is 0.95 eV/atom. The value obtained for the mass density is 5.9 Mg/m³.

The space group is Cmmm (No. 65) and the conventional cell measures 6.338, 9.133 and 2.769 Å, with angles of 90.00, 90.00 and 90.00 degrees. The inequivalent atoms are Sr at (0.000, 0.000, 0.000), Li at (0.250, 0.250, 0.500) and W at (0.000, 0.500, 0.000).

***

9.
TePb3 | GGA-PBE | optimized geometry

As for the crystal system: tetragonal. As for the energy: -14.4 eV per cell. For the energy above the most stable polymorph in this dataset, the calculation gives 2.42 kJ per mole of atoms. The value obtained for the mass density is 9.8 Mg/m³.

The space group is P4/mmm (No. 123) and the conventional cell measures 4.250, 4.250 and 7.011 Å, with angles of 90.00, 90.00 and 90.00 degrees. The inequivalent atoms are Te at (0.000, 0.000, 0.000), Pb at (0.000, 0.000, 0.500) and Pb at (0.500, 0.500, 0.241).

***

10.
NbHgRuF2 | GGA-PBE | optimized geometry

As for the crystal system: tetragonal. As for the energy: -22.7 eV per cell. The value obtained for the mass density is 7.6 Mg/m³.

The space group is P4/mmm (No. 123) and the conventional cell measures 4.105, 4.105 and 5.608 Å, with angles of 90.00, 90.00 and 90.00 degrees. The inequivalent atoms are Nb at (0.000, 0.000, 0.000), Hg at (0.500, 0.500, 0.000), Ru at (0.500, 0.500, 0.500) and F at (0.000, 0.500, 0.500).

***

11.
GdLuNiOs | GGA-PBE | optimized geometry

As for the crystal system: cubic. As for the energy: -147.5 eV per cell. Its formation energy is -0.31 eV/atom. The value obtained for the mass density is 12.6 Mg/m³.

The space group is F-43m (No. 216) and the conventional cell measures 6.750, 6.750 and 6.750 Å, with angles of 90.00, 90.00 and 90.00 degrees. The inequivalent atoms are Gd at (0.000, 0.000, 0.000), Lu at (0.000, 0.000, 0.500), Ni at (0.250, 0.250, 0.250) and Os at (0.250, 0.250, 0.750).

***

12.
ZrGaIr | GGA-PBE | optimized geometry

As for the crystal system: tetragonal. As for the energy: -44.4 eV per cell. Its formation energy is -0.59 eV/atom. The value obtained for the mass density is 11.5 Mg/m³.

The space group is I4mm (No. 107) and the conventional cell measures 3.082, 3.082 and 10.741 Å, with angles of 90.00, 90.00 and 90.00 degrees. The inequivalent atoms are Zr at (0.000, 0.000, 0.000), Ga at (0.000, 0.000, 0.689) and Ir at (0.000, 0.000, 0.327).

***

13.
InAgW4 | GGA-PBE | optimized geometry

As for the crystal system: cubic. As for the energy: -211.9 eV per cell. Its formation energy is 0.74 eV/atom. The value obtained for the mass density is 14.5 Mg/m³.

The space group is F-43m (No. 216) and the conventional cell measures 7.598, 7.598 and 7.598 Å, with angles of 90.00, 90.00 and 90.00 degrees. The inequivalent atoms are In at (0.000, 0.000, 0.000), Ag at (0.250, 0.250, 0.250) and W at (0.124, 0.124, 0.624).

***

14.
HgOsSe | GGA-PBE | optimized geometry

As for the crystal system: orthorhombic. As for the energy: -52.1 eV per cell. For the energy above the most stable polymorph in this dataset, the calculation gives 28.65 kJ per mole of atoms. The value obtained for the mass density is 12.8 Mg/m³.

The space group is Fmm2 (No. 42) and the conventional cell measures 2.940, 5.289 and 15.742 Å, with angles of 90.00, 90.00 and 90.00 degrees. The inequivalent atoms are Hg at (0.000, 0.000, 0.000), Os at (0.000, 0.000, 0.659) and Se at (0.000, 0.000, 0.281).

***

15.
Mg2IrOs | GGA-PBE | optimized geometry

As for the crystal system: tetragonal. As for the energy: -22.6 eV per cell. For the energy above the most stable polymorph in this dataset, the calculation gives 22.86 kJ per mole of atoms. Its formation energy is 0.16 eV/atom. The value obtained for the mass density is 11.7 Mg/m³.

The space group is P4/mmm (No. 123) and the conventional cell measures 4.545, 4.545 and 2.956 Å, with angles of 90.00, 90.00 and 90.00 degrees. The inequivalent atoms are Mg at (0.000, 0.500, 0.000), Ir at (0.000, 0.000, 0.500) and Os at (0.500, 0.500, 0.500).

***

16.
LiCa4Mg | GGA-PBE | optimized geometry

As for the crystal system: triclinic. As for the energy: -10.4 eV per cell. For the energy above the most stable polymorph in this dataset, the calculation gives 20.38 kJ per mole of atoms. Its formation energy is 0.19 eV/atom. The value obtained for the mass density is 1.3 Mg/m³.

The space group is P1 (No. 1) and the conventional cell measures 5.534, 5.535 and 7.863 Å, with angles of 89.94, 89.97 and 90.00 degrees. The inequivalent atoms are Li at (0.000, 0.000, 0.000), Ca at (0.000, 0.501, 0.248), Ca at (0.500, 0.000, 0.751), Ca at (0.500, 0.001, 0.248), Ca at (0.999, 0.500, 0.752) and Mg at (0.499, 0.501, 0.500).

***

17.
MnOs2Cl | GGA-PBE | optimized geometry

As for the crystal system: trigonal. As for the energy: -96.0 eV per cell. For the energy above the most stable polymorph in this dataset, the calculation gives 4.80 kJ per mole of atoms. The value obtained for the mass density is 12.5 Mg/m³.

The space group is R3m (No. 160, hexagonal axes) and the conventional cell measures 2.8369, 2.8369 and 27.0304 Å, with angles of 90.00, 90.00 and 120.00 degrees. The inequivalent atoms are Mn at (0.0000, 0.0000, 0.0000), Os at (0.0000, 0.0000, 0.4880), Os at (0.0000, 0.0000, 0.7457) and Cl at (0.0000, 0.0000, 0.2703).

***

18.
Ba4Tl3Ga | GGA-PBE | optimized geometry

As for the crystal system: tetragonal. As for the energy: -20.8 eV per cell. Its formation energy is -0.38 eV/atom. The value obtained for the mass density is 6.7 Mg/m³.

The space group is P4/mmm (No. 123) and the conventional cell measures 4.239, 4.239 and 17.087 Å, with angles of 90.00, 90.00 and 90.00 degrees. The inequivalent atoms are Ba at (0.000, 0.000, 0.115), Ba at (0.000, 0.000, 0.372), Tl at (0.500, 0.500, 0.244), Tl at (0.500, 0.500, 0.500) and Ga at (0.500, 0.500, 0.000).

***

19.
AcHo2Sc | GGA-PBE | optimized geometry

As for the crystal system: tetragonal. As for the energy: -19.2 eV per cell. For the energy above the most stable polymorph in this dataset, the calculation gives 0.21 kJ per mole of atoms. Its formation energy is 0.10 eV/atom. The value obtained for the mass density is 7.7 Mg/m³.

The space group is P4/mmm (No. 123) and the conventional cell measures 4.997, 4.997 and 5.190 Å, with angles of 90.00, 90.00 and 90.00 degrees. The inequivalent atoms are Ac at (0.000, 0.000, 0.000), Ho at (0.000, 0.500, 0.500) and Sc at (0.500, 0.500, 0.000).

***

20.
Pu2Ni4Ge3Pt | GGA-PBE | optimized geometry

As for the crystal system: tetragonal. As for the energy: -76.4 eV per cell. Its formation energy is -0.47 eV/atom. The value obtained for the mass density is 11.5 Mg/m³.

The space group is P-4m2 (No. 115) and the conventional cell measures 3.900, 3.900 and 10.753 Å, with angles of 90.00, 90.00 and 90.00 degrees. The inequivalent atoms are Pu at (0.000, 0.500, 0.243), Ni at (0.000, 0.000, 0.500), Ni at (0.000, 0.500, 0.844), Ni at (0.500, 0.500, 0.500), Ge at (0.000, 0.000, 0.000), Ge at (0.000, 0.500, 0.626) and Pt at (0.500, 0.500, 0.000).